Model i:
Here is a relaxed structure of LiCuRe3 from Alexandria via LeMat-Bulk. Energies are from PBE.

```
data_LiCuRe3
_space_group_name_H-M_alt 'P m -3 m'
_space_group_IT_number 221
_space_group_name_Hall '-P 4 2 3'
_cell_length_a 4.4828
_cell_length_b 4.4828
_cell_length_c 4.4828
_cell_angle_alpha 90.00
_cell_angle_beta 90.00
_cell_angle_gamma 90.00
loop_
_atom_site_label
_atom_site_fract_x
_atom_site_fract_y
_atom_site_fract_z
Li1 0.0000 0.0000 0.0000
Cu1 0.5000 0.5000 0.5000
Re1 0.0000 0.5000 0.5000
```

Model ii:
Here is a relaxed structure of LiCuRe3 from Alexandria via LeMat-Bulk. Energies are from PBE.

```
data_LiCuRe3
_space_group_name_H-M_alt 'P m -3 m'
_space_group_IT_number 221
_space_group_name_Hall '-P 4 2 3'
_cell_length_a 4.1106
_cell_length_b 4.1106
_cell_length_c 4.1106
_cell_angle_alpha 90.00
_cell_angle_beta 90.00
_cell_angle_gamma 90.00
loop_
_atom_site_label
_atom_site_fract_x
_atom_site_fract_y
_atom_site_fract_z
Li1 0.0000 0.0000 0.0000
Cu1 0.5000 0.5000 0.5000
Re1 0.0000 0.0000 0.5000
```

Which of them is most stable, and which least? Most stable: model ii; least stable: model i.